Crystalline Be4ReAu at its relaxed geometry, computed with GGA-PBE.

Cell: 4.4810 4.4810 4.4810 Å, 60.00 60.00 60.00°
Fractional coordinates of all 6 atoms:
Be1 0.3779 0.3779 0.3779
Be2 0.3779 0.3779 0.8664
Be3 0.3779 0.8664 0.3779
Be4 0.8664 0.3779 0.3779
Re1 0.7500 0.7500 0.7500
Au1 0.0000 0.0000 0.0000

Results
**Total DFT energy (no corrections)**: -30.35 eV per formula unit
**Size of the total moment**: 0.00 Bohr magnetons per cell
**ΔE_f**: 0.046 eV per atom

Crystalline BeRe3Au at its relaxed geometry, computed with GGA-PBE.

Cell: 4.1706 4.1706 4.1706 Å, 90.00 90.00 90.00°
Fractional coordinates of all 5 atoms:
Be1 0.0000 0.0000 0.0000
Re1 0.0000 0.0000 0.5000
Re2 0.0000 0.5000 0.0000
Re3 0.5000 0.0000 0.0000
Au1 0.5000 0.5000 0.5000

Results
**Total DFT energy (no corrections)**: -40.04 eV per formula unit
**Size of the total moment**: 0.00 Bohr magnetons per cell
**ΔE_f**: 0.861 eV per atom
**ΔE to the lowest computed polymorph**: 0.00 eV per formula unit

Crystalline BeReAu4 at its relaxed geometry, computed with GGA-PBE.

Cell: 5.3897 5.3897 5.3897 Å, 60.00 60.00 60.00°
Fractional coordinates of all 6 atoms:
Be1 0.0000 0.0000 0.0000
Re1 0.2500 0.2500 0.2500
Au1 0.1249 0.6250 0.6250
Au2 0.6250 0.1249 0.6250
Au3 0.6250 0.6250 0.1249
Au4 0.6250 0.6250 0.6250

Results
**Total DFT energy (no corrections)**: -23.51 eV per formula unit
**Size of the total moment**: 2.97 Bohr magnetons per cell
**ΔE_f**: 0.962 eV per atom

Repeat the third record exactly.
Crystalline BeReAu4 at its relaxed geometry, computed with GGA-PBE.

Cell: 5.3897 5.3897 5.3897 Å, 60.00 60.00 60.00°
Fractional coordinates of all 6 atoms:
Be1 0.0000 0.0000 0.0000
Re1 0.2500 0.2500 0.2500
Au1 0.1249 0.6250 0.6250
Au2 0.6250 0.1249 0.6250
Au3 0.6250 0.6250 0.1249
Au4 0.6250 0.6250 0.6250

Results
**Total DFT energy (no corrections)**: -23.51 eV per formula unit
**Size of the total moment**: 2.97 Bohr magnetons per cell
**ΔE_f**: 0.962 eV per atom

- Look up the ΔE_f of the first one.
  0.046 eV per atom

- Which value of ΔE_f does entry 1 give?
  0.046 eV per atom